This record from Alexandria describes a relaxed Na2DyVO4 crystal. The functional is PBE+U.

The electronic total energy is -53.2 eV/cell. Its total magnetic moment is 0.25 μB/atom.

The space group is P2/m (No. 10) and the conventional cell measures 5.592, 3.283 and 5.825 Å, with angles of 90.00, 108.83 and 90.00 degrees. Symmetry generates all atoms from Na at (0.000, 0.000, 0.000), Na at (0.500, 0.500, 0.000), Dy at (0.000, 0.500, 0.500), V at (0.500, 0.000, 0.500), O at (0.257, 0.000, 0.708) and O at (0.282, 0.500, 0.295).